The following is a SCAN calculation of a PBEsol-optimized structure of Sr2ScPt, from Alexandria.

Properties
symmetry: Immm
ρ: 5.3 Mg/m³
calculated formation energy: -527 meV/atom
E above lowest polymorph: 0 meV/atom
V: 128.99 Å³/f.u.

abc: 3.540 4.126 17.665
angles: 90.00 90.00 90.00
Positions (direct):
Sr: 0.000 0.000 0.154
Sr: 0.000 0.000 0.846
Sr: 0.500 0.500 0.346
Sr: 0.500 0.500 0.654
Sc: 0.000 0.500 0.000
Sc: 0.500 0.000 0.500
Pt: 0.000 0.500 0.500
Pt: 0.500 0.000 0.000

---

The following is a SCAN calculation of a PBEsol-optimized structure of Rb3ZnGe, from Alexandria.

Properties
symmetry: Pm-3m
ρ: 2.1 Mg/m³
calculated formation energy: 354 meV/atom
V: 304.68 Å³/f.u.

abc: 6.729 6.729 6.729
angles: 90.00 90.00 90.00
Positions (direct):
Rb: 0.000 0.000 0.500
Rb: 0.000 0.500 0.000
Rb: 0.500 0.000 0.000
Zn: 0.500 0.500 0.500
Ge: 0.000 0.000 0.000

---

The following is a SCAN calculation of a PBEsol-optimized structure of AlRh2Au, from Alexandria.

Properties
symmetry: I-4m2
ρ: 12.4 Mg/m³
calculated formation energy: -424 meV/atom
V: 57.48 Å³/f.u.

abc: 3.884 3.884 7.621
angles: 90.00 90.00 90.00
Positions (direct):
Al: 0.000 0.000 0.000
Al: 0.500 0.500 0.500
Rh: 0.000 0.000 0.500
Rh: 0.000 0.500 0.750
Rh: 0.500 0.000 0.250
Rh: 0.500 0.500 0.000
Au: 0.000 0.500 0.250
Au: 0.500 0.000 0.750

---

The following is a SCAN calculation of a PBEsol-optimized structure of SrCrTe4, from Alexandria.

Properties
symmetry: F-43m
uncorrected formation energy: 0.01 eV per atom
ρ: 5.9 Mg/m³
V: 183.64 Å³/f.u.

abc: 6.380 6.380 6.380
angles: 60.00 60.00 60.00
Positions (direct):
Sr: 0.000 0.000 0.000
Cr: 0.750 0.750 0.750
Te: 0.376 0.376 0.376
Te: 0.376 0.376 0.873
Te: 0.376 0.873 0.376
Te: 0.873 0.376 0.376